Li2MnFeB2O6 | GGA+U | relaxed

* DOS at the Fermi energy: 0.00 states/eV/f.u.
* excess energy over the best structure of this formula in the dataset: 0.000 eV per atom
* space-group type: Cc
* total energy: -170.775 eV per cell

Structure (POSCAR):
```
Li2MnFeB2O6
1.0
-5.086 -1.106 0.470
-1.965 -4.213 -2.387
2.199 -5.910 8.314
Li Mn Fe B O
4 2 2 4 12
Direct
0.322 0.653 0.332
0.346 0.678 0.832
0.653 0.336 0.584
0.664 0.347 0.084
0.993 0.671 0.616
0.329 0.007 0.116
0.683 0.003 0.867
0.997 0.317 0.367
0.001 0.340 0.874
0.660 0.999 0.374
0.334 0.003 0.625
0.997 0.666 0.125
0.071 0.245 0.581
0.755 0.929 0.081
0.255 0.072 0.903
0.928 0.745 0.403
0.021 0.584 0.833
0.416 0.978 0.333
0.577 0.038 0.656
0.962 0.423 0.156
0.271 0.641 0.139
0.359 0.729 0.639
0.637 0.274 0.389
0.726 0.363 0.889
```